#i
Computed, not measured: a relaxed ZnTeSe3 crystal at the GGA-PBEsol level of DFT.

Summary:
mass density: 4.91 g/cm³
Fermi-level density of states: 4.25 states/eV per cell

Cell: 5.2593 5.2593 5.2593 Å, 90.00 90.00 90.00°
Last column: nearest neighbours and their distance in Å.
Sites, in units of the cell vectors:
Zn (0.0000, 0.0000, 0.0000)  12 Se 3.72
Te (0.5000, 0.5000, 0.5000)  6 Se 2.63
Se (0.0000, 0.5000, 0.5000)  2 Te 2.63
Se (0.5000, 0.0000, 0.5000)  2 Te 2.63
Se (0.5000, 0.5000, 0.0000)  2 Te 2.63

#ii
Computed, not measured: a relaxed ZnTeSe3 crystal at the GGA-PBEsol level of DFT.

Summary:
mass density: 6.38 g/cm³
Fermi-level density of states: 3.62 states/eV per cell

Cell: 4.8193 4.8193 4.8193 Å, 90.00 90.00 90.00°
Last column: nearest neighbours and their distance in Å.
Sites, in units of the cell vectors:
Zn (0.0000, 0.0000, 0.0000)  6 Se 2.41
Te (0.5000, 0.5000, 0.5000)  12 Se 3.41
Se (0.0000, 0.0000, 0.5000)  2 Zn 2.41
Se (0.0000, 0.5000, 0.0000)  2 Zn 2.41
Se (0.5000, 0.0000, 0.0000)  2 Zn 2.41

Which is the most stable structure? #ii is the most stable.